Entry 1:
# NbBiSe

Crystalline NbBiSe at its relaxed geometry (PBE, Alexandria).

Structure (POSCAR):
```
NbBiSe
1.0
2.933 -1.690 0.000
2.933 1.690 0.000
-1.917 0.000 7.757
Nb Bi Se
1 1 1
Cartesian
0.000 0.000 0.000
0.048 0.000 5.393
3.910 0.000 1.704
```

Computed properties:
formation energy (no corrections): -0.410 eV/atom
distance to the lowest polymorph of the same formula: 30 meV/atom
total magnetization: 0.00 μB per cell

***

Entry 2:
# Hf2Sc3Hg2

Crystalline Hf2Sc3Hg2 at its relaxed geometry (PBE, Alexandria).

Structure (POSCAR):
```
Hf2Sc3Hg2
1.0
2.384 -10.544 0.000
2.384 10.544 0.000
0.000 0.000 3.121
Hf Sc Hg
2 3 2
Cartesian
2.384 5.907 0.000
2.384 -5.907 0.000
2.384 3.137 1.561
2.384 0.000 1.561
2.384 -3.137 1.561
2.384 8.988 0.000
2.384 -8.988 0.000
```

Computed properties:
formation enthalpy at 0 K: -0.10 eV/atom
total magnetization: 0.35 μB per cell

***

Entry 3:
# PrDy3Y6Th2

Crystalline PrDy3Y6Th2 at its relaxed geometry (PBE, Alexandria).

Structure (POSCAR):
```
PrDy3Y6Th2
1.0
3.109 -5.381 0.000
3.109 5.381 0.000
-2.074 0.000 11.609
Pr Dy Y Th
1 3 6 2
Cartesian
0.000 0.000 0.000
2.072 3.591 5.805
2.072 0.000 5.805
2.072 -3.591 5.805
1.055 1.818 2.889
0.025 0.000 8.718
1.055 -1.818 2.889
3.090 1.818 8.720
4.120 0.000 2.891
3.090 -1.818 8.720
3.109 1.794 0.000
3.109 -1.794 0.000
```

Computed properties:
formation enthalpy at 0 K: 0.03 eV/atom
total magnetization: 0.00 μB per cell

***

Entry 4:
# ZnIn6

Crystalline ZnIn6 at its relaxed geometry (PBE, Alexandria).

Structure (POSCAR):
```
ZnIn6
1.0
-4.117 4.117 4.117
4.117 -4.117 4.117
4.117 4.117 -4.117
Zn In
1 6
Cartesian
0.000 0.000 0.000
4.117 2.059 0.000
4.117 0.000 2.059
2.059 4.117 0.000
2.059 0.000 4.117
0.000 4.117 2.059
0.000 2.059 4.117
```

Computed properties:
formation enthalpy at 0 K: 0.45 eV/atom
total magnetization: 0.00 μB per cell

***

Entry 5:
# HfMg

Crystalline HfMg at its relaxed geometry (PBE, Alexandria).

Structure (POSCAR):
```
HfMg
1.0
0.000 2.864 2.864
2.864 0.000 2.864
2.864 2.864 0.000
Hf Mg
1 1
Cartesian
0.000 0.000 0.000
2.864 2.864 2.864
```

Computed properties:
formation enthalpy at 0 K: 0.97 eV/atom
total magnetization: 0.00 μB per cell

***

Entry 6:
# YGa3Bi

Crystalline YGa3Bi at its relaxed geometry (PBE, Alexandria).

Structure (POSCAR):
```
YGa3Bi
1.0
5.471 0.000 0.000
0.000 5.471 0.000
0.000 0.000 5.471
Y Ga Bi
1 3 1
Cartesian
0.000 0.000 0.000
0.000 0.000 2.736
0.000 2.736 0.000
2.736 0.000 0.000
2.736 2.736 2.736
```

Computed properties:
formation enthalpy at 0 K: 0.58 eV/atom
distance to the lowest polymorph of the same formula: 16 meV/atom
total magnetization: 0.00 μB per cell

***

Entry 7:
# Sr3ScBe2O6

Crystalline Sr3ScBe2O6 at its relaxed geometry (PBE, Alexandria).

Structure (POSCAR):
```
Sr3ScBe2O6
1.0
5.529 0.000 0.000
-2.764 4.788 0.000
0.000 0.000 6.705
Sr Sc Be O
3 1 2 6
Cartesian
0.000 0.000 0.000
0.000 3.192 4.513
2.764 1.596 2.192
0.000 0.000 3.352
0.000 3.192 1.761
2.764 1.596 4.944
0.000 1.665 2.047
-1.322 3.955 2.047
1.442 0.833 4.658
1.322 3.955 2.047
4.087 0.833 4.658
2.764 3.123 4.658
```

Computed properties:
formation energy (no corrections): -2.732 eV/atom
total magnetization: 0.27 μB per cell

***

Entry 8:
# CoCl

Crystalline CoCl at its relaxed geometry (PBE, Alexandria).

Structure (POSCAR):
```
CoCl
1.0
3.615 0.000 0.000
-1.807 3.131 0.000
0.000 0.000 6.348
Co Cl
2 2
Cartesian
0.000 2.087 0.000
1.808 1.044 3.174
0.000 2.087 4.072
1.808 1.044 0.898
```

Computed properties:
formation energy (no corrections): 0.110 eV/atom
total magnetization: 4.00 μB per cell

***

Entry 9:
# CaSb4As

Crystalline CaSb4As at its relaxed geometry (PBE, Alexandria).

Structure (POSCAR):
```
CaSb4As
1.0
0.000 4.398 4.398
4.398 0.000 4.398
4.398 4.398 0.000
Ca Sb As
1 4 1
Cartesian
0.000 0.000 0.000
5.496 3.301 3.301
3.301 5.496 3.301
3.301 3.301 5.496
5.496 5.496 5.496
2.199 2.199 2.199
```

Computed properties:
formation energy (no corrections): 0.058 eV/atom
total magnetization: 0.00 μB per cell

***

Entry 10:
# MnCr2CdSb

Crystalline MnCr2CdSb at its relaxed geometry (PBE, Alexandria).

Structure (POSCAR):
```
MnCr2CdSb
1.0
5.131 0.000 0.000
0.000 5.131 0.000
0.000 0.000 5.437
Mn Cr Cd Sb
1 2 1 1
Cartesian
0.000 0.000 0.000
0.000 2.566 2.718
2.566 0.000 2.718
2.566 2.566 0.000
2.566 2.566 2.718
```

Computed properties:
formation energy (no corrections): 1.326 eV/atom
total magnetization: 12.98 μB per cell

***

Entry 11:
# Mg4Cd4Hg

Crystalline Mg4Cd4Hg at its relaxed geometry (PBE, Alexandria).

Structure (POSCAR):
```
Mg4Cd4Hg
1.0
-5.027 5.027 1.951
5.027 -5.027 1.951
5.027 5.027 -1.951
Mg Cd Hg
4 4 1
Cartesian
1.645 1.630 0.000
3.398 -3.382 1.951
1.630 8.410 0.000
3.382 3.398 1.951
5.001 1.673 0.000
3.354 -0.027 1.951
1.673 5.054 0.000
0.027 3.354 1.951
0.000 0.000 1.951
```

Computed properties:
formation enthalpy at 0 K: -0.08 eV/atom
distance to the lowest polymorph of the same formula: 0 meV/atom
total magnetization: 0.00 μB per cell

***

Entry 12:
# BaGdZnHg

Crystalline BaGdZnHg at its relaxed geometry (PBE, Alexandria).

Structure (POSCAR):
```
BaGdZnHg
1.0
0.000 3.924 3.924
3.924 0.000 3.924
3.924 3.924 0.000
Ba Gd Zn Hg
1 1 1 1
Cartesian
0.000 0.000 0.000
3.924 3.924 3.924
5.886 5.886 5.886
1.962 1.962 1.962
```

Computed properties:
formation enthalpy at 0 K: -0.25 eV/atom
total magnetization: 6.98 μB per cell

***

| no. | uncorrected energy (eV per atom) |
| --- | --- |
| 1 | -6.22 |
| 2 | -5.74 |
| 3 | -5.98 |
| 4 | -2.08 |
| 5 | -4.80 |
| 6 | -3.31 |
| 7 | -6.78 |
| 8 | -4.37 |
| 9 | -3.80 |
| 10 | -5.36 |
| 11 | -1.23 |
| 12 | -4.64 |